Here is an optimized crystal structure of Mn2FeCu from the Alexandria database. Energies are from PBEsol.

a = 2.4566 Å, b = 4.2778 Å, c = 4.3815 Å
α = 99.03°, β = 90.00°, γ = 106.69°
Last column: nearest neighbours and their distance in Å.
Positions (direct):
Cu  0.4980  0.9960  0.4914  3 Fe 2.42-2.48, 2 Cu 2.46, 7 Mn 2.49-2.54
Fe  0.7460  0.4920  0.2575  3 Cu 2.42-2.48, 2 Fe 2.46, 7 Mn 2.46-2.58
Mn  0.0036  0.0072  0.9904  5 Mn 2.42-2.47, 3 Fe 2.46-2.58, 4 Cu 2.50-2.52
Mn  0.2524  0.5048  0.7607  5 Mn 2.42-2.47, 3 Cu 2.49-2.54, 4 Fe 2.51-2.52

Computed properties:
crystal system: monoclinic
ΔE_f: 0.225 eV per atom
size of the total moment: 1.39 Bohr magnetons per cell
energy relative to the lowest polymorph listed for this composition: 23 meV/atom
SG: Cm

=====

Here is an optimized crystal structure of K2MnBPt from the Alexandria database. Energies are from PBEsol.

a = 3.9369 Å, b = 6.2330 Å, c = 6.2330 Å
α = 90.00°, β = 90.00°, γ = 90.00°
Last column: nearest neighbours and their distance in Å.
Positions (direct):
K  0.0000  0.0000  0.5000  2 Pt 3.12
K  0.0000  0.5000  0.0000  2 Pt 3.12
Mn  0.5000  0.5000  0.5000  8 K 3.69, 2 Mn 3.94
B  0.5000  0.0000  0.0000  2 Pt 1.97
Pt  0.0000  0.0000  0.0000  2 B 1.97

Computed properties:
crystal system: tetragonal
ΔE_f: 0.864 eV per atom
size of the total moment: 4.66 Bohr magnetons per cell
SG: P4/mmm

=====

Here is an optimized crystal structure of Na5Mg from the Alexandria database. Energies are from PBEsol.

a = 5.9578 Å, b = 6.4653 Å, c = 6.4653 Å
α = 120.00°, β = 90.00°, γ = 90.00°
Last column: nearest neighbours and their distance in Å.
Positions (direct):
Mg  0.0000  0.0000  0.0000  6 Na 3.73
Na  0.5000  0.0000  0.5000  8 Na 3.23-3.52
Na  0.0000  0.6667  0.3333  9 Na 3.52-3.73, 3 Mg 3.73
Na  0.5000  0.5000  0.5000  8 Na 3.23-3.52
Na  0.5000  0.5000  0.0000  8 Na 3.23-3.52
Na  0.0000  0.3333  0.6667  9 Na 3.52-3.73, 3 Mg 3.73

Computed properties:
crystal system: hexagonal
ΔE_f: 0.183 eV per atom
size of the total moment: 0.00 Bohr magnetons per cell
SG: P6/mmm

=====

Here is an optimized crystal structure of ScMoC3 from the Alexandria database. Energies are from PBEsol.

a = 3.9820 Å, b = 3.9820 Å, c = 3.9820 Å
α = 90.00°, β = 90.00°, γ = 90.00°
Last column: nearest neighbours and their distance in Å.
Positions (direct):
Sc  0.5000  0.5000  0.5000  12 C 2.82
Mo  0.0000  0.0000  0.0000  6 C 1.99
C  0.0000  0.5000  0.0000  2 Mo 1.99
C  0.0000  0.0000  0.5000  2 Mo 1.99
C  0.5000  0.0000  0.0000  2 Mo 1.99

Computed properties:
crystal system: cubic
ΔE_f: 1.070 eV per atom
size of the total moment: 0.00 Bohr magnetons per cell
SG: Pm-3m

=====

Here is an optimized crystal structure of MgTl3Ga from the Alexandria database. Energies are from PBEsol.

a = 5.4049 Å, b = 5.4049 Å, c = 5.4049 Å
α = 90.00°, β = 90.00°, γ = 90.00°
Last column: nearest neighbours and their distance in Å.
Positions (direct):
Tl  0.0000  0.5000  0.0000  2 Mg 2.70
Tl  0.0000  0.0000  0.5000  2 Mg 2.70
Tl  0.5000  0.0000  0.0000  2 Mg 2.70
Mg  0.0000  0.0000  0.0000  6 Tl 2.70
Ga  0.5000  0.5000  0.5000  12 Tl 3.82

Computed properties:
crystal system: cubic
ΔE_f: 0.426 eV per atom
size of the total moment: 0.00 Bohr magnetons per cell
SG: Pm-3m

=====

Here is an optimized crystal structure of BiH2Pt from the Alexandria database. Energies are from PBEsol.

a = 4.1194 Å, b = 4.1194 Å, c = 4.1194 Å
α = 60.00°, β = 60.00°, γ = 60.00°
Last column: nearest neighbours and their distance in Å.
Positions (direct):
H  0.2500  0.2500  0.2500  4 Bi 2.52, 4 Pt 2.52
H  0.7500  0.7500  0.7500  4 Bi 2.52, 4 Pt 2.52
Bi  0.5000  0.5000  0.5000  8 H 2.52
Pt  0.0000  0.0000  0.0000  8 H 2.52

Computed properties:
crystal system: cubic
E: -3.83 eV per atom
size of the total moment: 0.00 Bohr magnetons per cell
SG: Fm-3m

=====

Here is an optimized crystal structure of MgAg2Ru from the Alexandria database. Energies are from PBEsol.

a = 3.9341 Å, b = 3.9341 Å, c = 4.0820 Å
α = 90.00°, β = 90.00°, γ = 90.00°
Last column: nearest neighbours and their distance in Å.
Positions (direct):
Ag  0.0000  0.5000  0.0000  4 Ag 2.78, 4 Mg 2.83, 4 Ru 2.83
Ag  0.5000  0.0000  0.0000  4 Ag 2.78, 4 Mg 2.83, 4 Ru 2.83
Mg  0.5000  0.5000  0.5000  4 Ru 2.78, 8 Ag 2.83
Ru  0.0000  0.0000  0.5000  4 Mg 2.78, 8 Ag 2.83

Computed properties:
crystal system: tetragonal
ΔE_f: 0.205 eV per atom
size of the total moment: 0.31 Bohr magnetons per cell
SG: P4/mmm

=====

Here is an optimized crystal structure of SrMgTlCr2 from the Alexandria database. Energies are from PBEsol.

a = 5.1197 Å, b = 5.1197 Å, c = 5.9409 Å
α = 90.00°, β = 90.00°, γ = 90.00°
Last column: nearest neighbours and their distance in Å.
Positions (direct):
Sr  0.0000  0.0000  0.5000  2 Mg 2.97
Tl  0.5000  0.5000  0.5000  4 Sr 3.62, 8 Cr 3.92
Mg  0.0000  0.0000  0.0000  4 Cr 2.56
Cr  0.0000  0.5000  0.0000  2 Mg 2.56
Cr  0.5000  0.0000  0.0000  2 Mg 2.56

Computed properties:
crystal system: tetragonal
ΔE_f: 1.245 eV per atom
size of the total moment: 9.39 Bohr magnetons per cell
SG: P4/mmm

=====

Here is an optimized crystal structure of MoWF2 from the Alexandria database. Energies are from PBEsol.

a = 2.6660 Å, b = 2.6660 Å, c = 8.2782 Å
α = 80.73°, β = 80.73°, γ = 60.00°
Last column: nearest neighbours and their distance in Å.
Positions (direct):
Mo  0.5000  0.5000  0.5000  6 F 2.55, 6 Mo 2.67
W  0.0000  0.0000  0.0000  2 F 2.04
F  0.9165  0.9165  0.2506  1 W 2.04
F  0.0835  0.0835  0.7494  1 W 2.04

Computed properties:
crystal system: trigonal
formation energy from raw total energies: -0.590 eV/atom
size of the total moment: 0.00 Bohr magnetons per cell
SG: R-3m

=====

Here is an optimized crystal structure of TbMg2Cu9 from the Alexandria database. Energies are from PBEsol.

a = 4.9207 Å, b = 4.9207 Å, c = 15.9073 Å
α = 90.00°, β = 90.00°, γ = 120.00°
Last column: nearest neighbours and their distance in Å.
Positions (direct):
Tb  0.3333  0.6667  0.7500  18 Cu 2.84-3.18
Tb  0.6667  0.3333  0.2500  18 Cu 2.84-3.18
Mg  0.3333  0.6667  0.9672  12 Cu 2.85-2.89, 3 Mg 3.03
Mg  0.6667  0.3333  0.4672  12 Cu 2.85-2.89, 3 Mg 3.03
Mg  0.6667  0.3333  0.0328  12 Cu 2.85-2.89, 3 Mg 3.03
Mg  0.3333  0.6667  0.5328  12 Cu 2.85-2.89, 3 Mg 3.03
Cu  0.0000  0.0000  0.5000  6 Cu 2.43
Cu  0.0000  0.0000  0.0000  6 Cu 2.43
Cu  0.0000  0.0000  0.2500  6 Cu 2.47
Cu  0.0000  0.0000  0.7500  6 Cu 2.47
Cu  0.3333  0.6667  0.2500  6 Cu 2.46
Cu  0.6667  0.3333  0.7500  6 Cu 2.46
Cu  0.6642  0.8321  0.3766  7 Cu 2.43-2.48
Cu  0.8321  0.1679  0.8766  7 Cu 2.43-2.48
Cu  0.8321  0.6642  0.8766  7 Cu 2.43-2.48
Cu  0.1679  0.3358  0.3766  7 Cu 2.43-2.48
Cu  0.1679  0.8321  0.3766  7 Cu 2.43-2.48
Cu  0.3358  0.1679  0.6234  7 Cu 2.43-2.48
Cu  0.8321  0.1679  0.6234  7 Cu 2.43-2.48
Cu  0.3358  0.1679  0.8766  7 Cu 2.43-2.48
Cu  0.8321  0.6642  0.6234  7 Cu 2.43-2.48
Cu  0.1679  0.3358  0.1234  7 Cu 2.43-2.48
Cu  0.6642  0.8321  0.1234  7 Cu 2.43-2.48
Cu  0.1679  0.8321  0.1234  7 Cu 2.43-2.48

Computed properties:
crystal system: hexagonal
ΔE_f: -0.172 eV per atom
size of the total moment: 0.00 Bohr magnetons per cell
SG: P6_3/mmc

=====

Here is an optimized crystal structure of Ba3HSe from the Alexandria database. Energies are from PBEsol.

a = 6.2228 Å, b = 6.2228 Å, c = 6.2228 Å
α = 90.00°, β = 90.00°, γ = 90.00°
Last column: nearest neighbours and their distance in Å.
Positions (direct):
H  0.5000  0.5000  0.5000  12 Ba 4.40
Ba  0.0000  0.5000  0.0000  2 Se 3.11
Ba  0.0000  0.0000  0.5000  2 Se 3.11
Ba  0.5000  0.0000  0.0000  2 Se 3.11
Se  0.0000  0.0000  0.0000  6 Ba 3.11

Computed properties:
crystal system: cubic
E: -2.97 eV per atom
size of the total moment: 1.55 Bohr magnetons per cell
SG: Pm-3m

=====

Here is an optimized crystal structure of PaO2 from the Alexandria database. Energies are from PBEsol.

a = 3.8118 Å, b = 3.8118 Å, c = 3.8118 Å
α = 60.00°, β = 60.00°, γ = 60.00°
Last column: nearest neighbours and their distance in Å.
Positions (direct):
Pa  0.5000  0.5000  0.5000  8 O 2.33
O  0.2500  0.2500  0.2500  4 Pa 2.33
O  0.7500  0.7500  0.7500  4 Pa 2.33

Computed properties:
crystal system: cubic
formation energy from raw total energies: -3.612 eV/atom
size of the total moment: 0.00 Bohr magnetons per cell
SG: Fm-3m

=====

Here is an optimized crystal structure of WSeCl2 from the Alexandria database. Energies are from PBEsol.

a = 3.1483 Å, b = 5.9639 Å, c = 6.0803 Å
α = 117.18°, β = 90.00°, γ = 90.00°
Last column: nearest neighbours and their distance in Å.
Positions (direct):
Se  0.0000  0.4283  0.6240  2 W 2.41
W  0.5000  0.1346  0.6503  3 Cl 2.24-2.39, 2 Se 2.41
Cl  0.0000  0.1400  0.9478  2 W 2.39
Cl  0.5000  0.7971  0.2779  1 W 2.24

Computed properties:
crystal system: monoclinic
formation energy from raw total energies: -0.410 eV/atom
size of the total moment: 0.00 Bohr magnetons per cell
energy relative to the lowest polymorph listed for this composition: 0 meV/atom
SG: Pm

=====

Here is an optimized crystal structure of Na3CaHf from the Alexandria database. Energies are from PBEsol.

a = 5.5624 Å, b = 5.5624 Å, c = 5.5624 Å
α = 90.00°, β = 90.00°, γ = 90.00°
Last column: nearest neighbours and their distance in Å.
Positions (direct):
Na  0.0000  0.5000  0.0000  2 Ca 2.78
Na  0.0000  0.0000  0.5000  2 Ca 2.78
Na  0.5000  0.0000  0.0000  2 Ca 2.78
Ca  0.0000  0.0000  0.0000  6 Na 2.78
Hf  0.5000  0.5000  0.5000  12 Na 3.93

Computed properties:
crystal system: cubic
ΔE_f: 1.424 eV per atom
size of the total moment: 2.37 Bohr magnetons per cell
SG: Pm-3m